LaSc2Se: optimized geometry, GGA-PBE.

CIF file:
```
data_LaSc2Se
_chemical_formula_sum 'La1 Sc2 Se1'
_space_group_name_H-M_alt 'P 1'
_space_group_IT_number 1
_cell_length_a 6.320
_cell_length_b 6.320
_cell_length_c 6.320
_cell_angle_alpha 147.25
_cell_angle_beta 131.59
_cell_angle_gamma 59.68
loop_
_space_group_symop_operation_xyz
'x,y,z'
loop_
_atom_site_label
_atom_site_type_symbol
_atom_site_fract_x
_atom_site_fract_y
_atom_site_fract_z
La1 La 0.000 0.000 0.000
Sc1 Sc 0.293 0.793 0.500
Sc2 Sc 0.576 0.576 0.000
Se1 Se 0.763 0.263 0.500
```

Properties
V	25.3	A^3/atom
SG	Imm2, No. 44
ΔE_f (raw)	-0.5153	eV per atom
spin magnetization	0.00	μB/cell
crystal system	orthorhombic